Fe2GeSb | PBE | relaxed

Cell lengths 6.133, 6.133, 6.133 Å; angles 90.00, 90.00, 90.00 degrees
Element x y z (fractional)
1 Fe 0.235 0.235 0.235
2 Fe 0.235 0.235 0.765
3 Fe 0.235 0.765 0.235
4 Fe 0.235 0.765 0.765
5 Fe 0.765 0.235 0.235
6 Fe 0.765 0.235 0.765
7 Fe 0.765 0.765 0.235
8 Fe 0.765 0.765 0.765
9 Ge 0.000 0.000 0.000
10 Ge 0.000 0.000 0.500
11 Ge 0.000 0.500 0.000
12 Ge 0.500 0.000 0.000
13 Sb 0.000 0.500 0.500
14 Sb 0.500 0.000 0.500
15 Sb 0.500 0.500 0.000
16 Sb 0.500 0.500 0.500

Summary:
Its total energy is -6.092 eV per atom. As for the total magnetization: 0.60 μB per atom.